Below is a relaxed PuZnPdRu crystal, with properties calculated at the PBE-GGA level.

```
data_PuZnPdRu
_chemical_formula_sum 'Pu1 Zn1 Pd1 Ru1'
_cell_length_a 4.602
_cell_length_b 4.602
_cell_length_c 4.602
_cell_angle_alpha 60.00
_cell_angle_beta 60.00
_cell_angle_gamma 60.00
_symmetry_space_group_name_H-M 'P 1'
_symmetry_Int_Tables_number 1
_symmetry_space_group_name_Hall 'P 1'
loop_
_atom_site_label
_atom_site_type_symbol
_atom_site_fract_x
_atom_site_fract_y
_atom_site_fract_z
Pd1 Pd 0.750 0.750 0.750
Zn1 Zn 0.000 0.000 0.000
Pu1 Pu 0.500 0.500 0.500
Ru1 Ru 0.250 0.250 0.250
```

Results
**Total energy**: -7.77 eV/atom
**ΔH_f (0 K)**: -251 meV/atom
**Space group**: F-43m, No. 216